(1)
## Ca2TeC (PBE)

Data for Ca2TeC after structural relaxation.

Formation energy from raw total energies = -0.037 eV/atom
Crystal system = tetragonal

Cell and atoms, written as CIF:
```
data_Ca2TeC
_space_group_name_H-M_alt 'I -4 2 d'
_space_group_IT_number 122
_space_group_name_Hall 'I -4 2bw'
_cell_length_a 7.391
_cell_length_b 7.391
_cell_length_c 7.863
_cell_angle_alpha 90.00
_cell_angle_beta 90.00
_cell_angle_gamma 90.00
loop_
_atom_site_label
_atom_site_type_symbol
_atom_site_fract_x
_atom_site_fract_y
_atom_site_fract_z
Ca1 Ca 0.178 0.750 0.125
Te1 Te 0.000 0.000 0.500
C1 C 0.000 0.000 0.000
```

=====

(2)
## Ac3Zn9Hg2 (PBE)

Data for Ac3Zn9Hg2 after structural relaxation.

Energy of formation from the pure elements = -0.280 eV per atom
Crystal system = orthorhombic

Cell and atoms, written as CIF:
```
data_Ac3Zn9Hg2
_space_group_name_H-M_alt 'I m m m'
_space_group_IT_number 71
_space_group_name_Hall '-I 2 2'
_cell_length_a 4.717
_cell_length_b 9.272
_cell_length_c 14.244
_cell_angle_alpha 90.00
_cell_angle_beta 90.00
_cell_angle_gamma 90.00
loop_
_atom_site_label
_atom_site_type_symbol
_atom_site_fract_x
_atom_site_fract_y
_atom_site_fract_z
Ac1 Ac 0.000 0.000 0.000
Ac2 Ac 0.000 0.000 0.300
Zn1 Zn 0.000 0.275 0.146
Zn2 Zn 0.000 0.362 0.336
Zn3 Zn 0.000 0.500 0.000
Hg1 Hg 0.000 0.198 0.500
```

=====

(3)
## La5Pr12Y2 (PBE)

Data for La5Pr12Y2 after structural relaxation.

Energy of formation from the pure elements = 0.096 eV per atom
Crystal system = monoclinic

Cell and atoms, written as CIF:
```
data_La5Pr12Y2
_space_group_name_H-M_alt 'C 1 2/m 1'
_space_group_IT_number 12
_cell_length_a 13.345
_cell_length_b 11.907
_cell_length_c 9.680
_cell_angle_alpha 90.00
_cell_angle_beta 115.99
_cell_angle_gamma 90.00
loop_
_space_group_symop_operation_xyz
'x,y,z'
'-x,-y,-z'
'-x,y,-z'
'x,-y,z'
'x+1/2,y+1/2,z'
'-x+1/2,-y+1/2,-z'
'-x+1/2,y+1/2,-z'
'x+1/2,-y+1/2,z'
loop_
_atom_site_label
_atom_site_type_symbol
_atom_site_fract_x
_atom_site_fract_y
_atom_site_fract_z
La1 La 0.000 0.000 0.000
La2 La 0.187 0.500 0.727
La3 La 0.192 0.000 0.827
Pr1 Pr 0.076 0.500 0.290
Pr2 Pr 0.106 0.278 0.919
Pr3 Pr 0.118 0.000 0.445
Pr4 Pr 0.194 0.247 0.308
Y1 Y 0.000 0.265 0.500
```

=====

For reference, uncorrected energy by record: -4.1292; -2.0226; -4.8998 eV per atom.
For reference, density by record: 3.40; 8.91; 6.16 Mg/m³.